DFT (PBE) results for a relaxed LiIn2W crystal.

Calculated values
distance to the lowest polymorph of the same formula: 43.0 meV/atom
formation enthalpy at 0 K: 27.0 kJ/mol of atoms
crystal system: tetragonal

Unit cell a=4.9485 b=4.9485 c=3.0252 alpha=90.00 beta=90.00 gamma=90.00
Last column: nearest neighbours and their distance in Å.
Fractional positions:
Li 0.5000 0.0000 0.5000  8 In 2.90, 2 Li 3.03
In 0.5000 0.5000 0.0000  4 W 2.90, 4 Li 2.90, 2 In 3.03
In 0.0000 0.0000 0.0000  4 Li 2.90, 4 W 2.90, 2 In 3.03
W 0.0000 0.5000 0.5000  8 In 2.90, 2 W 3.03